No. 1
Cu3Ag2: relaxed, PBE-GGA.

a b c (Å): 5.825 5.825 9.168
angles (deg): 99.52 99.52 27.75
Positions (direct):
Cu (0.197, 0.197, 0.611)
Cu (0.397, 0.397, 0.176)
Cu (0.990, 0.990, 0.992)
Cu (0.514, 0.514, 0.521)
Cu (0.608, 0.608, 0.801)
Cu (0.298, 0.298, 0.897)
Ag (0.813, 0.813, 0.398)
Ag (0.693, 0.693, 0.090)
Ag (0.087, 0.087, 0.308)
Ag (0.903, 0.903, 0.706)

## Properties
The energy relative to the lowest polymorph listed for this composition comes out at 46.2 meV/atom. The value obtained for the formation enthalpy at 0 K is 43 kJ/mol of formula units.



No. 2
CuAg: relaxed, PBE-GGA.

a b c (Å): 6.719 2.808 6.760
angles (deg): 90.00 110.35 90.00
Positions (direct):
Cu (0.038, 0.750, 0.665)
Cu (0.962, 0.250, 0.335)
Cu (0.691, 0.250, 0.567)
Cu (0.309, 0.750, 0.433)
Ag (0.809, 0.750, 0.934)
Ag (0.413, 0.250, 0.788)
Ag (0.587, 0.750, 0.212)
Ag (0.191, 0.250, 0.066)

## Properties
The value obtained for the formation enthalpy at 0 K is 18 kJ/mol of formula units.



No. 3
CuAg2: relaxed, PBE-GGA.

a b c (Å): 4.911 4.911 11.618
angles (deg): 112.42 112.42 33.93
Positions (direct):
Ag (0.226, 0.226, 0.886)
Ag (0.109, 0.109, 0.442)
Ag (0.776, 0.776, 0.107)
Ag (0.899, 0.899, 0.563)
Ag (0.444, 0.444, 0.786)
Ag (0.323, 0.323, 0.327)
Cu (0.670, 0.670, 0.666)
Cu (0.549, 0.549, 0.211)
Cu (0.003, 0.003, 0.011)

## Properties
The energy relative to the lowest polymorph listed for this composition comes out at 55.6 meV/atom. The value obtained for the formation enthalpy at 0 K is 25 kJ/mol of formula units.



No. 4
Cu3Ag2: relaxed, PBE-GGA.

a b c (Å): 7.154 7.154 5.455
angles (deg): 99.59 99.59 31.28
Positions (direct):
Cu (0.407, 0.407, 0.452)
Cu (0.196, 0.196, 0.844)
Cu (0.004, 0.004, 0.733)
Cu (0.996, 0.996, 0.267)
Cu (0.804, 0.804, 0.156)
Cu (0.593, 0.593, 0.548)
Ag (0.400, 0.400, 0.960)
Ag (0.600, 0.600, 0.040)
Ag (0.801, 0.801, 0.651)
Ag (0.199, 0.199, 0.349)

## Properties
The energy relative to the lowest polymorph listed for this composition comes out at 54.2 meV/atom. The value obtained for the formation enthalpy at 0 K is 46 kJ/mol of formula units.



No. 5
CuAg: relaxed, PBE-GGA.

a b c (Å): 9.403 2.821 9.435
angles (deg): 90.00 106.76 90.00
Positions (direct):
Ag (0.257, 0.500, 0.493)
Ag (0.485, 0.500, 0.245)
Ag (0.004, 0.000, 0.006)
Ag (0.004, 0.000, 0.509)
Ag (0.758, 0.000, 0.235)
Ag (0.759, 0.000, 0.757)
Ag (0.491, 0.500, 0.755)
Ag (0.740, 0.500, 0.496)
Cu (0.018, 0.500, 0.760)
Cu (0.738, 0.500, 0.995)
Cu (0.494, 0.000, 0.999)
Cu (0.499, 0.000, 0.500)
Cu (0.011, 0.500, 0.252)
Cu (0.257, 0.500, 0.996)
Cu (0.240, 0.000, 0.238)
Cu (0.245, 0.000, 0.765)

## Properties
The value obtained for the formation enthalpy at 0 K is 18 kJ/mol of formula units.



No. 6
Cu3Ag2: relaxed, PBE-GGA.

a b c (Å): 9.043 9.043 5.748
angles (deg): 98.99 98.99 17.92
Positions (direct):
Cu (0.192, 0.192, 0.579)
Cu (0.191, 0.191, 0.113)
Cu (0.600, 0.600, 0.302)
Cu (0.005, 0.005, 0.036)
Cu (0.003, 0.003, 0.469)
Cu (0.406, 0.406, 0.200)
Ag (0.596, 0.596, 0.796)
Ag (0.414, 0.414, 0.711)
Ag (0.793, 0.793, 0.899)
Ag (0.799, 0.799, 0.395)

## Properties
The energy relative to the lowest polymorph listed for this composition comes out at 37.3 meV/atom. The value obtained for the formation enthalpy at 0 K is 38 kJ/mol of formula units.



No. 7
Cu3Ag2: relaxed, PBE-GGA.

a b c (Å): 21.609 21.609 21.609
angles (deg): 7.37 7.37 7.37
Positions (direct):
Cu (0.004, 0.004, 0.004)
Cu (0.397, 0.397, 0.397)
Cu (0.800, 0.800, 0.800)
Cu (0.701, 0.701, 0.701)
Cu (0.602, 0.602, 0.602)
Cu (0.496, 0.496, 0.496)
Ag (0.303, 0.303, 0.303)
Ag (0.197, 0.197, 0.197)
Ag (0.902, 0.902, 0.902)
Ag (0.099, 0.099, 0.099)

## Properties
The energy relative to the lowest polymorph listed for this composition comes out at 65.8 meV/atom. The value obtained for the formation enthalpy at 0 K is 52 kJ/mol of formula units.



No. 8
Cu3Ag5: relaxed, PBE-GGA.

a b c (Å): 6.869 6.247 4.894
angles (deg): 75.03 61.47 43.50
Positions (direct):
Ag (0.384, 0.384, 0.116)
Ag (0.756, 0.756, 0.244)
Ag (0.500, 0.500, 0.500)
Ag (0.244, 0.244, 0.756)
Ag (0.116, 0.116, 0.384)
Cu (0.871, 0.871, 0.629)
Cu (0.000, 0.000, 0.000)
Cu (0.629, 0.629, 0.871)

## Properties
The energy relative to the lowest polymorph listed for this composition comes out at 55.7 meV/atom. The value obtained for the formation enthalpy at 0 K is 72 kJ/mol of formula units.



No. 9
CuAg: relaxed, PBE-GGA.

a b c (Å): 6.053 6.053 9.176
angles (deg): 100.57 100.57 26.63
Positions (direct):
Ag (0.791, 0.791, 0.406)
Ag (0.691, 0.691, 0.093)
Ag (0.406, 0.406, 0.190)
Ag (0.512, 0.512, 0.500)
Ag (0.901, 0.901, 0.709)
Cu (0.099, 0.099, 0.295)
Cu (0.296, 0.296, 0.898)
Cu (0.997, 0.997, 0.987)
Cu (0.201, 0.201, 0.619)
Cu (0.607, 0.607, 0.802)

## Properties
The value obtained for the formation enthalpy at 0 K is 17 kJ/mol of formula units.



No. 10
Cu3Ag5: relaxed, PBE-GGA.

a b c (Å): 6.882 6.322 4.838
angles (deg): 74.82 62.45 42.73
Positions (direct):
Ag (0.128, 0.128, 0.372)
Ag (0.500, 0.500, 0.500)
Ag (0.872, 0.872, 0.628)
Ag (0.628, 0.628, 0.872)
Ag (0.372, 0.372, 0.128)
Cu (0.000, 0.000, 0.000)
Cu (0.246, 0.246, 0.754)
Cu (0.754, 0.754, 0.246)

## Properties
The energy relative to the lowest polymorph listed for this composition comes out at 57.1 meV/atom. The value obtained for the formation enthalpy at 0 K is 73 kJ/mol of formula units.



No. 11
CuAg: relaxed, PBE-GGA.

a b c (Å): 7.402 7.402 5.662
angles (deg): 101.06 101.06 29.49
Positions (direct):
Cu (0.197, 0.197, 0.611)
Cu (0.600, 0.600, 0.790)
Cu (0.794, 0.794, 0.886)
Cu (0.009, 0.009, 0.525)
Cu (0.002, 0.002, 0.990)
Ag (0.798, 0.798, 0.409)
Ag (0.401, 0.401, 0.195)
Ag (0.196, 0.196, 0.079)
Ag (0.597, 0.597, 0.306)
Ag (0.406, 0.406, 0.709)

## Properties
The value obtained for the formation enthalpy at 0 K is 18 kJ/mol of formula units.



No. 12
Cu4Ag5: relaxed, PBE-GGA.

a b c (Å): 4.911 4.911 11.119
angles (deg): 112.14 112.14 33.76
Positions (direct):
Ag (0.493, 0.493, 0.192)
Ag (0.507, 0.507, 0.808)
Ag (0.500, 0.500, 0.500)
Ag (0.836, 0.836, 0.937)
Ag (0.164, 0.164, 0.063)
Cu (0.179, 0.179, 0.402)
Cu (0.814, 0.814, 0.289)
Cu (0.186, 0.186, 0.711)
Cu (0.821, 0.821, 0.598)

## Properties
The energy relative to the lowest polymorph listed for this composition comes out at 35.5 meV/atom. The value obtained for the formation enthalpy at 0 K is 64 kJ/mol of formula units.



| no. | energy (Ry/atom) |
| --- | --- |
| 1 | -0.240 |
| 2 | -0.234 |
| 3 | -0.223 |
| 4 | -0.240 |
| 5 | -0.233 |
| 6 | -0.241 |
| 7 | -0.239 |
| 8 | -0.225 |
| 9 | -0.234 |
| 10 | -0.225 |
| 11 | -0.233 |
| 12 | -0.231 |